Here is a relaxed structure of In2RuBr from Alexandria. Energies are from PBE.

```
In2RuBr
1.0
3.751 0.000 0.000
0.000 3.751 0.000
0.000 0.000 7.894
In Ru Br
2 1 1
Direct
0.500 0.500 0.359 In
0.000 0.000 0.005 In
0.000 0.000 0.332 Ru
0.500 0.500 0.804 Br
```

For the density of states at the Fermi level, the calculation gives 1.7 states/eV/f.u. The total energy comes out at -3.97 eV/atom. As for the space group: No. 99. The calculation puts the raw formation energy at 0.6 eV/f.u.